Entry 1:
Compound: Mg2CuGe2Pd5
Source: Alexandria via LeMat-Bulk
Functional: PBE
Structure: optimized geometry

Summary:
Its energy is -4.69 eV per atom. The value obtained for the total magnetization is 0.00 μB per cell. The formation energy from the elements is -42.1 kJ/mol of atoms. As for the symmetry: P4/mbm, No. 127.

abc: 3.535 9.620 9.620
angles: 90.00 90.00 90.00
Fractional coordinates of all 20 atoms:
Mg: 0.000 0.831 0.669
Mg: 0.000 0.669 0.169
Mg: 0.000 0.331 0.831
Mg: 0.000 0.169 0.331
Pd: 0.500 0.695 0.425
Pd: 0.500 0.805 0.925
Pd: 0.500 0.195 0.075
Pd: 0.500 0.075 0.805
Pd: 0.500 0.925 0.195
Pd: 0.500 0.500 0.000
Pd: 0.500 0.575 0.695
Pd: 0.500 0.425 0.305
Pd: 0.500 0.305 0.575
Pd: 0.500 0.000 0.500
Ge: 0.000 0.868 0.368
Ge: 0.000 0.132 0.632
Ge: 0.000 0.368 0.132
Ge: 0.000 0.632 0.868
Cu: 0.000 0.500 0.500
Cu: 0.000 0.000 0.000

Entry 2:
Compound: Pm2MgCu3Ge4
Source: Alexandria via LeMat-Bulk
Functional: PBE
Structure: optimized geometry

Summary:
Its energy is -4.69 eV per atom. The value obtained for the total magnetization is 0.00 μB per cell. The formation energy from the elements is -48.7 kJ/mol of atoms. As for the symmetry: P-4m2, No. 115.

abc: 4.159 4.159 10.755
angles: 90.00 90.00 90.00
Fractional coordinates of all 10 atoms:
Mg: 0.500 0.500 0.500
Ge: 0.500 0.500 0.000
Ge: 0.000 0.500 0.352
Ge: 0.500 0.000 0.648
Ge: 0.000 0.000 0.000
Cu: 0.000 0.000 0.500
Cu: 0.500 0.000 0.871
Cu: 0.000 0.500 0.129
Pm: 0.000 0.500 0.759
Pm: 0.500 0.000 0.241

Entry 3:
Compound: PmMg2Cu2Ge2
Source: Alexandria via LeMat-Bulk
Functional: PBE
Structure: optimized geometry

Summary:
Its energy is -4.04 eV per atom. The value obtained for the total magnetization is 0.00 μB per cell. The formation energy from the elements is -39.8 kJ/mol of atoms. As for the symmetry: R-3m, No. 166.

abc: 4.285 4.285 8.580
angles: 75.54 75.54 60.00
Fractional coordinates of all 7 atoms:
Mg: 0.865 0.865 0.404
Mg: 0.135 0.135 0.596
Cu: 0.418 0.418 0.746
Cu: 0.582 0.582 0.254
Ge: 0.745 0.745 0.766
Ge: 0.255 0.255 0.234
Pm: 0.000 0.000 0.000

Entry 4:
Compound: PrMg2CuGe2
Source: Alexandria via LeMat-Bulk
Functional: PBE
Structure: optimized geometry

Summary:
Its energy is -3.55 eV per atom. The value obtained for the total magnetization is 0.00 μB per cell. The formation energy from the elements is -0.4 kJ/mol of atoms. As for the symmetry: I4/mmm, No. 139.

abc: 5.229 5.229 6.522
angles: 113.63 113.63 90.00
Fractional coordinates of all 6 atoms:
Ge: 0.790 0.790 0.580
Ge: 0.210 0.210 0.420
Mg: 0.250 0.750 0.500
Mg: 0.750 0.250 0.500
Cu: 0.000 0.000 0.000
Pr: 0.500 0.500 0.000

Entry 5:
Compound: MgCu2GePt
Source: Alexandria via LeMat-Bulk
Functional: PBE
Structure: optimized geometry

Summary:
Its energy is -3.53 eV per atom. The value obtained for the total magnetization is 0.00 μB per cell. The formation energy from the elements is 53.7 kJ/mol of atoms. As for the symmetry: P4/mmm, No. 123.

abc: 4.403 4.884 4.403
angles: 90.00 90.00 90.00
Fractional coordinates of all 5 atoms:
Mg: 0.000 0.500 0.000
Cu: 0.500 0.000 0.000
Cu: 0.000 0.000 0.500
Pt: 0.500 0.500 0.500
Ge: 0.000 0.000 0.000

Entry 6:
Compound: Mg2CuGe2Pt5
Source: Alexandria via LeMat-Bulk
Functional: PBE
Structure: optimized geometry

Summary:
Its energy is -5.15 eV per atom. The value obtained for the total magnetization is 0.00 μB per cell. The formation energy from the elements is -45.8 kJ/mol of atoms. As for the symmetry: P4/mbm, No. 127.

abc: 3.739 9.322 9.322
angles: 90.00 90.00 90.00
Fractional coordinates of all 20 atoms:
Pt: 0.500 0.000 0.500
Pt: 0.500 0.071 0.803
Pt: 0.500 0.571 0.697
Pt: 0.500 0.429 0.303
Pt: 0.500 0.303 0.571
Pt: 0.500 0.803 0.929
Pt: 0.500 0.697 0.429
Pt: 0.500 0.197 0.071
Pt: 0.500 0.500 0.000
Pt: 0.500 0.929 0.197
Mg: 0.000 0.831 0.669
Mg: 0.000 0.169 0.331
Mg: 0.000 0.331 0.831
Mg: 0.000 0.669 0.169
Ge: 0.000 0.132 0.632
Ge: 0.000 0.632 0.868
Ge: 0.000 0.868 0.368
Ge: 0.000 0.368 0.132
Cu: 0.000 0.000 0.000
Cu: 0.000 0.500 0.500

Entry 7:
Compound: Pu2MgCu3Ge4
Source: Alexandria via LeMat-Bulk
Functional: PBE
Structure: optimized geometry

Summary:
Its energy is -6.40 eV per atom. The value obtained for the total magnetization is 10.74 μB per cell. The formation energy from the elements is -28.5 kJ/mol of atoms. As for the symmetry: P-4m2, No. 115.

abc: 4.175 4.175 10.521
angles: 90.00 90.00 90.00
Last column: magnetic moment on the atom in μB.
Fractional coordinates of all 10 atoms:
Cu: 0.000 0.000 0.500  -0.03
Cu: 0.000 0.500 0.124  0.02
Cu: 0.500 0.000 0.876  0.02
Ge: 0.000 0.000 0.000  -0.01
Ge: 0.000 0.500 0.349  -0.06
Ge: 0.500 0.500 0.000  -0.02
Ge: 0.500 0.000 0.651  -0.06
Mg: 0.500 0.500 0.500  -0.01
Pu: 0.500 0.000 0.237  5.24
Pu: 0.000 0.500 0.763  5.24

Entry 8:
Compound: PuMgCuGe
Source: Alexandria via LeMat-Bulk
Functional: PBE
Structure: optimized geometry

Summary:
Its energy is -6.37 eV per atom. The value obtained for the total magnetization is 5.35 μB per cell. The formation energy from the elements is -20.6 kJ/mol of atoms. As for the symmetry: F-43m, No. 216.

abc: 4.794 4.794 4.794
angles: 60.00 60.00 60.00
Last column: magnetic moment on the atom in μB.
Fractional coordinates of all 4 atoms:
Ge: 0.500 0.500 0.500  -0.04
Pu: 0.250 0.250 0.250  5.17
Cu: 0.000 0.000 0.000  0.00
Mg: 0.750 0.750 0.750  0.00

Entry 9:
Compound: PuMgCu2Ge2
Source: Alexandria via LeMat-Bulk
Functional: PBE
Structure: optimized geometry

Summary:
Its energy is -5.87 eV per atom. The value obtained for the total magnetization is 5.12 μB per cell. The formation energy from the elements is -30.2 kJ/mol of atoms. As for the symmetry: P-3m1, No. 164.

abc: 4.214 4.214 6.909
angles: 90.00 90.00 120.00
Last column: magnetic moment on the atom in μB.
Fractional coordinates of all 6 atoms:
Ge: 0.667 0.333 0.746  -0.04
Ge: 0.333 0.667 0.254  -0.04
Mg: 0.000 0.000 0.500  0.00
Pu: 0.000 0.000 0.000  5.10
Cu: 0.667 0.333 0.308  -0.01
Cu: 0.333 0.667 0.692  -0.01

Entry 10:
Compound: Pu2MgCu4Ge3
Source: Alexandria via LeMat-Bulk
Functional: PBE
Structure: optimized geometry

Summary:
Its energy is -6.31 eV per atom. The value obtained for the total magnetization is 10.76 μB per cell. The formation energy from the elements is -24.8 kJ/mol of atoms. As for the symmetry: P-4m2, No. 115.

abc: 4.131 4.131 10.422
angles: 90.00 90.00 90.00
Last column: magnetic moment on the atom in μB.
Fractional coordinates of all 10 atoms:
Cu: 0.500 0.000 0.641  0.01
Cu: 0.500 0.500 0.000  -0.02
Cu: 0.000 0.000 0.000  -0.03
Cu: 0.000 0.500 0.359  0.01
Mg: 0.500 0.500 0.500  0.01
Pu: 0.500 0.000 0.233  5.21
Pu: 0.000 0.500 0.767  5.21
Ge: 0.000 0.500 0.132  -0.06
Ge: 0.500 0.000 0.868  -0.06
Ge: 0.000 0.000 0.500  -0.05

Entry 11:
Compound: MgCuGeRu
Source: Alexandria via LeMat-Bulk
Functional: PBE
Structure: optimized geometry

Summary:
Its energy is -4.96 eV per atom. The value obtained for the total magnetization is 0.00 μB per cell. The formation energy from the elements is -6.3 kJ/mol of atoms. As for the symmetry: F-43m, No. 216.

abc: 4.320 4.320 4.320
angles: 60.00 60.00 60.00
Fractional coordinates of all 4 atoms:
Cu: 0.250 0.250 0.250
Mg: 0.000 0.000 0.000
Ge: 0.500 0.500 0.500
Ru: 0.750 0.750 0.750

Entry 12:
Compound: MgCu2GeS4
Source: Alexandria via LeMat-Bulk
Functional: PBE
Structure: optimized geometry

Summary:
Its energy is -4.47 eV per atom. The value obtained for the total magnetization is 0.00 μB per cell. As for the symmetry: I-42m, No. 121.

abc: 5.474 5.474 6.539
angles: 114.74 114.74 90.00
Fractional coordinates of all 8 atoms:
S: 0.397 0.397 0.261
S: 0.603 0.136 0.739
S: 0.864 0.864 0.261
S: 0.136 0.603 0.739
Mg: 0.000 0.000 0.000
Ge: 0.500 0.500 0.000
Cu: 0.250 0.750 0.500
Cu: 0.750 0.250 0.500

Entry 13:
Compound: MgCu2GeS
Source: Alexandria via LeMat-Bulk
Functional: PBE
Structure: optimized geometry

Summary:
Its energy is -3.53 eV per atom. The value obtained for the total magnetization is 0.00 μB per cell. As for the symmetry: P4/mmm, No. 123.

abc: 4.347 4.934 4.347
angles: 90.00 90.00 90.00
Fractional coordinates of all 5 atoms:
Cu: 0.500 0.000 0.000
Cu: 0.000 0.000 0.500
Mg: 0.000 0.500 0.000
Ge: 0.500 0.500 0.500
S: 0.000 0.000 0.000

Entry 14:
Compound: MgCu2GeS4
Source: Alexandria via LeMat-Bulk
Functional: PBE
Structure: optimized geometry

Summary:
Its energy is -4.47 eV per atom. The value obtained for the total magnetization is 0.00 μB per cell. As for the symmetry: Pmn2_1, No. 31.

abc: 6.275 6.556 7.682
angles: 90.00 90.00 90.00
Fractional coordinates of all 16 atoms:
S: 0.392 0.656 0.500
S: 0.371 0.157 0.264
S: 0.361 0.691 0.000
S: 0.371 0.157 0.736
S: 0.871 0.843 0.764
S: 0.871 0.843 0.236
S: 0.861 0.309 0.500
S: 0.892 0.344 0.000
Cu: 0.505 0.825 0.251
Cu: 0.005 0.175 0.751
Cu: 0.005 0.175 0.249
Cu: 0.505 0.825 0.749
Mg: 0.497 0.339 0.000
Mg: 0.997 0.661 0.500
Ge: 0.999 0.675 0.000
Ge: 0.499 0.325 0.500

Entry 15:
Compound: MgCuGeS2
Source: Alexandria via LeMat-Bulk
Functional: PBE
Structure: optimized geometry

Summary:
Its energy is -3.09 eV per atom. The value obtained for the total magnetization is 0.00 μB per cell. As for the symmetry: P4/mmm, No. 123.

abc: 4.870 4.873 4.870
angles: 90.00 90.00 90.00
Fractional coordinates of all 5 atoms:
S: 0.000 0.000 0.500
S: 0.500 0.000 0.000
Mg: 0.000 0.500 0.000
Cu: 0.500 0.500 0.500
Ge: 0.000 0.000 0.000

Entry 16:
Compound: MgCuGe2Se6
Source: Alexandria via LeMat-Bulk
Functional: PBE
Structure: optimized geometry

Summary:
Its energy is -3.92 eV per atom. The value obtained for the total magnetization is 0.00 μB per cell. As for the symmetry: C2/c, No. 15.

abc: 6.856 8.879 8.879
angles: 85.03 75.32 75.32
Fractional coordinates of all 20 atoms:
Se: 0.592 0.103 0.631
Se: 0.353 0.183 0.035
Se: 0.408 0.897 0.369
Se: 0.092 0.631 0.103
Se: 0.647 0.817 0.965
Se: 0.510 0.455 0.308
Se: 0.853 0.035 0.183
Se: 0.908 0.369 0.897
Se: 0.490 0.545 0.692
Se: 0.990 0.692 0.545
Se: 0.147 0.965 0.817
Se: 0.010 0.308 0.455
Mg: 0.250 0.875 0.125
Mg: 0.750 0.125 0.875
Ge: 0.736 0.222 0.388
Ge: 0.236 0.388 0.222
Ge: 0.264 0.778 0.612
Ge: 0.764 0.612 0.778
Cu: 0.750 0.777 0.223
Cu: 0.250 0.223 0.777

Entry 17:
Compound: Mg2CuGeSe4
Source: Alexandria via LeMat-Bulk
Functional: PBE
Structure: optimized geometry

Summary:
Its energy is -3.90 eV per atom. The value obtained for the total magnetization is 0.00 μB per cell. As for the symmetry: Fmm2, No. 42.

abc: 5.931 5.931 7.206
angles: 114.27 114.27 90.07
Fractional coordinates of all 8 atoms:
Se: 0.119 0.119 0.761
Se: 0.642 0.642 0.761
Se: 0.358 0.881 0.239
Se: 0.881 0.358 0.239
Ge: 0.500 0.500 0.001
Mg: 0.750 0.250 0.500
Mg: 0.250 0.750 0.500
Cu: 0.000 0.000 0.000

Entry 18:
Compound: Mg3Cu9SiGe2
Source: Alexandria via LeMat-Bulk
Functional: PBE
Structure: optimized geometry

Summary:
Its energy is -3.55 eV per atom. The value obtained for the total magnetization is 0.00 μB per cell. As for the symmetry: P-3m1, No. 164.

abc: 6.164 6.164 8.189
angles: 90.00 90.00 120.00
Fractional coordinates of all 15 atoms:
Mg: 0.333 0.667 0.720
Mg: 0.667 0.333 0.280
Mg: 0.000 0.000 0.000
Cu: 0.266 0.133 0.720
Cu: 0.133 0.266 0.280
Cu: 0.133 0.867 0.280
Cu: 0.500 0.500 0.000
Cu: 0.500 0.000 0.000
Cu: 0.000 0.500 0.000
Cu: 0.734 0.867 0.280
Cu: 0.867 0.133 0.720
Cu: 0.867 0.734 0.720
Ge: 0.667 0.333 0.807
Ge: 0.333 0.667 0.193
Si: 0.000 0.000 0.500

Entry 19:
Compound: SmMgCuGe2
Source: Alexandria via LeMat-Bulk
Functional: PBE
Structure: optimized geometry

Summary:
Its energy is -4.40 eV per atom. The value obtained for the total magnetization is 0.00 μB per cell. The formation energy from the elements is -45.4 kJ/mol of atoms. As for the symmetry: I-4m2, No. 119.

abc: 4.153 4.153 6.373
angles: 109.02 109.02 90.00
Fractional coordinates of all 5 atoms:
Mg: 0.750 0.250 0.500
Sm: 0.000 0.000 0.000
Ge: 0.611 0.611 0.222
Ge: 0.389 0.389 0.778
Cu: 0.250 0.750 0.500

Entry 20:
Compound: Sm2MgCu4Ge3
Source: Alexandria via LeMat-Bulk
Functional: PBE
Structure: optimized geometry

Summary:
Its energy is -4.60 eV per atom. The value obtained for the total magnetization is 0.00 μB per cell. The formation energy from the elements is -46.0 kJ/mol of atoms. As for the symmetry: P-4m2, No. 115.

abc: 4.145 4.145 10.442
angles: 90.00 90.00 90.00
Fractional coordinates of all 10 atoms:
Cu: 0.000 0.000 0.000
Cu: 0.500 0.000 0.642
Cu: 0.000 0.500 0.358
Cu: 0.500 0.500 0.000
Sm: 0.500 0.000 0.233
Sm: 0.000 0.500 0.767
Mg: 0.500 0.500 0.500
Ge: 0.000 0.500 0.131
Ge: 0.000 0.000 0.500
Ge: 0.500 0.000 0.869

Entry 21:
Compound: SmMg2CuGe2
Source: Alexandria via LeMat-Bulk
Functional: PBE
Structure: optimized geometry

Summary:
Its energy is -3.50 eV per atom. The value obtained for the total magnetization is 0.00 μB per cell. The formation energy from the elements is 3.7 kJ/mol of atoms. As for the symmetry: I4/mmm, No. 139.

abc: 5.255 5.255 6.443
angles: 114.07 114.07 90.00
Fractional coordinates of all 6 atoms:
Ge: 0.215 0.215 0.430
Ge: 0.785 0.785 0.570
Mg: 0.250 0.750 0.500
Mg: 0.750 0.250 0.500
Sm: 0.500 0.500 0.000
Cu: 0.000 0.000 0.000

Entry 22:
Compound: SrMg2Cu2Ge2
Source: Alexandria via LeMat-Bulk
Functional: PBE
Structure: optimized geometry

Summary:
Its energy is -3.54 eV per atom. The value obtained for the total magnetization is 0.00 μB per cell. The formation energy from the elements is -33.9 kJ/mol of atoms. As for the symmetry: R-3m, No. 166.

abc: 4.326 4.326 8.981
angles: 76.06 76.06 60.00
Fractional coordinates of all 7 atoms:
Cu: 0.574 0.574 0.279
Cu: 0.426 0.426 0.721
Mg: 0.136 0.136 0.593
Mg: 0.864 0.864 0.407
Ge: 0.249 0.249 0.254
Ge: 0.751 0.751 0.746
Sr: 0.000 0.000 0.000

Entry 23:
Compound: TbMg2Cu2Ge2
Source: Alexandria via LeMat-Bulk
Functional: PBE
Structure: optimized geometry

Summary:
Its energy is -4.00 eV per atom. The value obtained for the total magnetization is 0.00 μB per cell. The formation energy from the elements is -38.4 kJ/mol of atoms. As for the symmetry: R-3m, No. 166.

abc: 4.264 4.264 8.474
angles: 75.43 75.43 60.00
Fractional coordinates of all 7 atoms:
Cu: 0.415 0.415 0.756
Cu: 0.585 0.585 0.244
Tb: 0.000 0.000 0.000
Ge: 0.743 0.743 0.771
Ge: 0.257 0.257 0.229
Mg: 0.866 0.866 0.402
Mg: 0.134 0.134 0.598